Entry 1:
# ScZnTe2I (PBE-GGA, relaxed)
# energy relative to the lowest polymorph listed for this composition: 291 meV per atom
# E: -3.02 eV/atom
# total moment: 0.337 Bohr magnetons per cell
# N(E_F): 0.772 states/eV/atom
# space-group type: P4/mmm, No. 123
# formation energy (no corrections): 66 meV per atom
data_ScZnTe2I
_chemical_formula_sum 'Sc1 Zn1 Te2 I1'
_space_group_name_H-M_alt 'P 1'
_space_group_IT_number 1
_cell_length_a 5.3120
_cell_length_b 5.3120
_cell_length_c 5.4634
_cell_angle_alpha 90.00
_cell_angle_beta 90.00
_cell_angle_gamma 90.00
loop_
_space_group_symop_operation_xyz
'x,y,z'
loop_
_atom_site_label
_atom_site_type_symbol
_atom_site_fract_x
_atom_site_fract_y
_atom_site_fract_z
_atom_site_occupancy
Sc1 Sc 0.0000 0.0000 0.0000 1
Zn1 Zn 0.5000 0.5000 0.5000 1
Te1 Te 0.0000 0.5000 0.5000 1
Te2 Te 0.5000 0.0000 0.5000 1
I1 I 0.5000 0.5000 0.0000 1



Entry 2:
# Ho4BiSe2 (PBE-GGA, relaxed)
# E: -5.38 eV/atom
# total moment: 0.000 Bohr magnetons per cell
# N(E_F): 0.554 states/eV/atom
# space-group type: Cmcm, No. 63
# formation energy (no corrections): -1214 meV per atom
data_Ho4BiSe2
_chemical_formula_sum 'Ho8 Bi2 Se4'
_space_group_name_H-M_alt 'P 1'
_space_group_IT_number 1
_cell_length_a 6.9272
_cell_length_b 6.9272
_cell_length_c 13.7947
_cell_angle_alpha 90.00
_cell_angle_beta 90.00
_cell_angle_gamma 145.36
loop_
_space_group_symop_operation_xyz
'x,y,z'
loop_
_atom_site_label
_atom_site_type_symbol
_atom_site_fract_x
_atom_site_fract_y
_atom_site_fract_z
_atom_site_occupancy
Ho1 Ho 0.0000 0.0000 0.0000 1
Ho2 Ho 0.0000 0.0000 0.5000 1
Ho3 Ho 0.2689 0.7311 0.6216 1
Ho4 Ho 0.2689 0.7311 0.8784 1
Ho5 Ho 0.4266 0.5734 0.2500 1
Ho6 Ho 0.5734 0.4266 0.7500 1
Ho7 Ho 0.7311 0.2689 0.1216 1
Ho8 Ho 0.7311 0.2689 0.3784 1
Bi1 Bi 0.1029 0.8971 0.2500 1
Bi2 Bi 0.8971 0.1029 0.7500 1
Se1 Se 0.3644 0.6356 0.0584 1
Se2 Se 0.3644 0.6356 0.4416 1
Se3 Se 0.6356 0.3644 0.5584 1
Se4 Se 0.6356 0.3644 0.9416 1



Entry 3:
# TbY2Au (PBE-GGA, relaxed)
# energy relative to the lowest polymorph listed for this composition: 162 meV per atom
# E: -5.50 eV/atom
# total moment: 0.570 Bohr magnetons per cell
# N(E_F): 1.209 states/eV/atom
# space-group type: R3m, No. 160
data_TbY2Au
_chemical_formula_sum 'Tb1 Y2 Au1'
_space_group_name_H-M_alt 'P 1'
_space_group_IT_number 1
_cell_length_a 10.0404
_cell_length_b 10.0404
_cell_length_c 10.0404
_cell_angle_alpha 21.57
_cell_angle_beta 21.57
_cell_angle_gamma 21.57
loop_
_space_group_symop_operation_xyz
'x,y,z'
loop_
_atom_site_label
_atom_site_type_symbol
_atom_site_fract_x
_atom_site_fract_y
_atom_site_fract_z
_atom_site_occupancy
Tb1 Tb 0.0000 0.0000 0.0000 1
Y1 Y 0.2367 0.2367 0.2367 1
Y2 Y 0.4318 0.4318 0.4318 1
Au1 Au 0.8348 0.8348 0.8348 1



Entry 4:
# La2HfTcAs (PBE-GGA, relaxed)
# E: -6.45 eV/atom
# total moment: 0.000 Bohr magnetons per cell
# N(E_F): 1.685 states/eV/atom
# space-group type: P4/mmm, No. 123
data_La2HfTcAs
_chemical_formula_sum 'La2 Hf1 Tc1 As1'
_space_group_name_H-M_alt 'P 1'
_space_group_IT_number 1
_cell_length_a 5.5934
_cell_length_b 5.5934
_cell_length_c 4.9092
_cell_angle_alpha 90.00
_cell_angle_beta 90.00
_cell_angle_gamma 90.00
loop_
_space_group_symop_operation_xyz
'x,y,z'
loop_
_atom_site_label
_atom_site_type_symbol
_atom_site_fract_x
_atom_site_fract_y
_atom_site_fract_z
_atom_site_occupancy
La1 La 0.0000 0.5000 0.0000 1
La2 La 0.5000 0.0000 0.0000 1
Hf1 Hf 0.0000 0.0000 0.5000 1
Tc1 Tc 0.5000 0.5000 0.5000 1
As1 As 0.0000 0.0000 0.0000 1



Entry 5:
# Pm5SnPb3 (PBE-GGA, relaxed)
# E: -4.93 eV/atom
# total moment: 0.002 Bohr magnetons per cell
# N(E_F): 0.956 states/eV/atom
# space-group type: P6_3/mcm, No. 193
data_Pm5SnPb3
_chemical_formula_sum 'Pm10 Sn2 Pb6'
_space_group_name_H-M_alt 'P 1'
_space_group_IT_number 1
_cell_length_a 9.7275
_cell_length_b 9.7275
_cell_length_c 6.7249
_cell_angle_alpha 90.00
_cell_angle_beta 90.00
_cell_angle_gamma 120.00
loop_
_space_group_symop_operation_xyz
'x,y,z'
loop_
_atom_site_label
_atom_site_type_symbol
_atom_site_fract_x
_atom_site_fract_y
_atom_site_fract_z
_atom_site_occupancy
Pm1 Pm 0.0000 0.2670 0.2500 1
Pm2 Pm 0.0000 0.7330 0.7500 1
Pm3 Pm 0.2670 0.0000 0.2500 1
Pm4 Pm 0.2670 0.2670 0.7500 1
Pm5 Pm 0.3333 0.6667 0.0000 1
Pm6 Pm 0.3333 0.6667 0.5000 1
Pm7 Pm 0.6667 0.3333 0.0000 1
Pm8 Pm 0.6667 0.3333 0.5000 1
Pm9 Pm 0.7330 0.0000 0.7500 1
Pm10 Pm 0.7330 0.7330 0.2500 1
Sn1 Sn 0.0000 0.0000 0.0000 1
Sn2 Sn 0.0000 0.0000 0.5000 1
Pb1 Pb 0.0000 0.3850 0.7500 1
Pb2 Pb 0.0000 0.6150 0.2500 1
Pb3 Pb 0.3850 0.0000 0.7500 1
Pb4 Pb 0.3850 0.3850 0.2500 1
Pb5 Pb 0.6150 0.0000 0.2500 1
Pb6 Pb 0.6150 0.6150 0.7500 1



Entry 6:
# CeAlZn2Ag5 (PBE-GGA, relaxed)
# E: -2.84 eV/atom
# total moment: 1.101 Bohr magnetons per cell
# N(E_F): 1.255 states/eV/atom
# space-group type: P4/mmm, No. 123
data_CeAlZn2Ag5
_chemical_formula_sum 'Ce1 Al1 Zn2 Ag5'
_space_group_name_H-M_alt 'P 1'
_space_group_IT_number 1
_cell_length_a 4.9835
_cell_length_b 4.9835
_cell_length_c 7.4171
_cell_angle_alpha 90.00
_cell_angle_beta 90.00
_cell_angle_gamma 90.00
loop_
_space_group_symop_operation_xyz
'x,y,z'
loop_
_atom_site_label
_atom_site_type_symbol
_atom_site_fract_x
_atom_site_fract_y
_atom_site_fract_z
_atom_site_occupancy
Ce1 Ce 0.0000 0.0000 0.0000 1
Al1 Al 0.0000 0.0000 0.5000 1
Zn1 Zn 0.5000 0.5000 0.3410 1
Zn2 Zn 0.5000 0.5000 0.6590 1
Ag1 Ag 0.0000 0.5000 0.2803 1
Ag2 Ag 0.0000 0.5000 0.7197 1
Ag3 Ag 0.5000 0.0000 0.2803 1
Ag4 Ag 0.5000 0.0000 0.7197 1
Ag5 Ag 0.5000 0.5000 0.0000 1



Entry 7:
# LiP2CBr (PBE-GGA, relaxed)
# E: -3.04 eV/atom
# total moment: 0.000 Bohr magnetons per cell
# N(E_F): 0.744 states/eV/atom
# space-group type: P4/mmm, No. 123
# formation energy (no corrections): 1690 meV per atom
data_LiP2CBr
_chemical_formula_sum 'Li1 P2 C1 Br1'
_space_group_name_H-M_alt 'P 1'
_space_group_IT_number 1
_cell_length_a 4.6776
_cell_length_b 4.6776
_cell_length_c 3.6386
_cell_angle_alpha 90.00
_cell_angle_beta 90.00
_cell_angle_gamma 90.00
loop_
_space_group_symop_operation_xyz
'x,y,z'
loop_
_atom_site_label
_atom_site_type_symbol
_atom_site_fract_x
_atom_site_fract_y
_atom_site_fract_z
_atom_site_occupancy
Li1 Li 0.0000 0.0000 0.0000 1
P1 P 0.0000 0.5000 0.0000 1
P2 P 0.5000 0.0000 0.0000 1
C1 C 0.0000 0.0000 0.5000 1
Br1 Br 0.5000 0.5000 0.5000 1



Entry 8:
# TaIr2W (PBE-GGA, relaxed)
# energy relative to the lowest polymorph listed for this composition: 264 meV per atom
# E: -10.83 eV/atom
# total moment: 0.000 Bohr magnetons per cell
# N(E_F): 0.614 states/eV/atom
# space-group type: P2/m, No. 10
data_TaIr2W
_chemical_formula_sum 'Ta1 Ir2 W1'
_space_group_name_H-M_alt 'P 1'
_space_group_IT_number 1
_cell_length_a 4.8429
_cell_length_b 2.8076
_cell_length_c 4.8924
_cell_angle_alpha 90.00
_cell_angle_beta 109.30
_cell_angle_gamma 90.00
loop_
_space_group_symop_operation_xyz
'x,y,z'
loop_
_atom_site_label
_atom_site_type_symbol
_atom_site_fract_x
_atom_site_fract_y
_atom_site_fract_z
_atom_site_occupancy
Ta1 Ta 0.0000 0.0000 0.0000 1
Ir1 Ir 0.0000 0.5000 0.5000 1
Ir2 Ir 0.5000 0.0000 0.5000 1
W1 W 0.5000 0.5000 0.0000 1